# Ta3Sb PBE-GGA relaxed
# - Excess energy over the best structure of this formula in the dataset: 389.4 meV per atom
# - E_tot: -9.63 eV/atom
# - ΔE_f (raw): 0.290 eV/atom
# - Crystal system: trigonal
# - Total magnetization: 0.00 μB per atom
data_Ta3Sb
_chemical_formula_sum 'Ta9 Sb3'
_cell_length_a 3.2492
_cell_length_b 3.2492
_cell_length_c 26.1387
_cell_angle_alpha 90.00
_cell_angle_beta 90.00
_cell_angle_gamma 120.00
_symmetry_space_group_name_H-M 'R -3 m'
_symmetry_Int_Tables_number 166
_symmetry_space_group_name_Hall '-R 3 2"'
loop_
_atom_site_label
_atom_site_type_symbol
_atom_site_fract_x
_atom_site_fract_y
_atom_site_fract_z
Ta1 Ta 0.0000 0.0000 0.0000
Ta2 Ta 0.0000 0.0000 0.2524
Sb1 Sb 0.0000 0.0000 0.5000

# Ta2Sb PBE-GGA relaxed
# - E_tot: -9.14 eV/atom
# - ΔE_f (raw): 0.132 eV/atom
# - Crystal system: orthorhombic
# - Total magnetization: 0.00 μB per atom
data_Ta2Sb
_chemical_formula_sum 'Ta8 Sb4'
_cell_length_a 3.6149
_cell_length_b 13.1528
_cell_length_c 4.9782
_cell_angle_alpha 90.00
_cell_angle_beta 90.00
_cell_angle_gamma 90.00
_symmetry_space_group_name_H-M 'C m c m'
_symmetry_Int_Tables_number 63
_symmetry_space_group_name_Hall '-C 2c 2'
loop_
_atom_site_label
_atom_site_type_symbol
_atom_site_fract_x
_atom_site_fract_y
_atom_site_fract_z
Ta1 Ta 0.0000 0.0791 0.2500
Ta2 Ta 0.0000 0.4175 0.2500
Sb1 Sb 0.0000 0.2528 0.7500

# Ta2Sb3 PBE-GGA relaxed
# - E_tot: -7.02 eV/atom
# - ΔE_f (raw): 0.198 eV/atom
# - Crystal system: trigonal
# - Total magnetization: 0.00 μB per atom
data_Ta2Sb3
_chemical_formula_sum 'Ta2 Sb3'
_cell_length_a 4.9401
_cell_length_b 4.9401
_cell_length_c 5.5959
_cell_angle_alpha 90.00
_cell_angle_beta 90.00
_cell_angle_gamma 120.00
_symmetry_space_group_name_H-M 'P -3 m 1'
_symmetry_Int_Tables_number 164
_symmetry_space_group_name_Hall '-P 3 2"'
loop_
_atom_site_label
_atom_site_type_symbol
_atom_site_fract_x
_atom_site_fract_y
_atom_site_fract_z
Ta1 Ta 0.3333 0.6667 0.3914
Sb1 Sb 0.0000 0.0000 0.5000
Sb2 Sb 0.3333 0.6667 0.8798

# TaSb3 PBE-GGA relaxed
# - Excess energy over the best structure of this formula in the dataset: 248.7 meV per atom
# - E_tot: -5.72 eV/atom
# - ΔE_f (raw): 0.330 eV/atom
# - Crystal system: monoclinic
# - Total magnetization: 0.00 μB per atom
data_TaSb3
_chemical_formula_sum 'Ta2 Sb6'
_cell_length_a 10.1390
_cell_length_b 3.5200
_cell_length_c 5.4309
_cell_angle_alpha 90.00
_cell_angle_beta 99.41
_cell_angle_gamma 90.00
_symmetry_space_group_name_H-M 'C 1 2/m 1'
_symmetry_Int_Tables_number 12
_symmetry_space_group_name_Hall '-C 2y'
loop_
_atom_site_label
_atom_site_type_symbol
_atom_site_fract_x
_atom_site_fract_y
_atom_site_fract_z
Ta1 Ta 0.0000 0.0000 0.0000
Sb1 Sb 0.0000 0.5000 0.5000
Sb2 Sb 0.2224 0.5000 0.2147

# TaSb PBE-GGA relaxed
# - E_tot: -7.85 eV/atom
# - ΔE_f (raw): 0.140 eV/atom
# - Crystal system: tetragonal
# - Total magnetization: 0.00 μB per atom
data_TaSb
_chemical_formula_sum 'Ta2 Sb2'
_cell_length_a 3.0097
_cell_length_b 3.0097
_cell_length_c 10.4018
_cell_angle_alpha 90.00
_cell_angle_beta 90.00
_cell_angle_gamma 90.00
_symmetry_space_group_name_H-M 'P 4/n m m'
_symmetry_Int_Tables_number 129
loop_
_symmetry_equiv_pos_as_xyz
'x,y,z'
'-x,-y,-z'
'-y+1/2,x,z'
'y+1/2,-x,-z'
'-x+1/2,-y+1/2,z'
'x+1/2,y+1/2,-z'
'y,-x+1/2,z'
'-y,x+1/2,-z'
'x+1/2,-y,-z'
'-x+1/2,y,z'
'-y,-x,-z'
'y,x,z'
'-x,y+1/2,-z'
'x,-y+1/2,z'
'y+1/2,x+1/2,-z'
'-y+1/2,-x+1/2,z'
loop_
_atom_site_label
_atom_site_type_symbol
_atom_site_fract_x
_atom_site_fract_y
_atom_site_fract_z
Ta1 Ta 0.2500 0.2500 0.1071
Sb1 Sb 0.2500 0.2500 0.6813

# TaSb3 PBE-GGA relaxed
# - Excess energy over the best structure of this formula in the dataset: 139.5 meV per atom
# - E_tot: -5.83 eV/atom
# - ΔE_f (raw): 0.221 eV/atom
# - Crystal system: orthorhombic
# - Total magnetization: 0.00 μB per atom
data_TaSb3
_chemical_formula_sum 'Ta2 Sb6'
_cell_length_a 3.9018
_cell_length_b 4.8772
_cell_length_c 10.5903
_cell_angle_alpha 90.00
_cell_angle_beta 90.00
_cell_angle_gamma 90.00
_symmetry_space_group_name_H-M 'C m m m'
_symmetry_Int_Tables_number 65
_symmetry_space_group_name_Hall '-C 2 2'
loop_
_atom_site_label
_atom_site_type_symbol
_atom_site_fract_x
_atom_site_fract_y
_atom_site_fract_z
Ta1 Ta 0.0000 0.0000 0.0000
Sb1 Sb 0.0000 0.0000 0.5000
Sb2 Sb 0.0000 0.5000 0.2028

# TaSb PBE-GGA relaxed
# - E_tot: -7.70 eV/atom
# - ΔE_f (raw): 0.283 eV/atom
# - Crystal system: orthorhombic
# - Total magnetization: 0.00 μB per atom
data_TaSb
_chemical_formula_sum 'Ta16 Sb16'
_cell_length_a 7.6514
_cell_length_b 8.4249
_cell_length_c 10.9112
_cell_angle_alpha 90.00
_cell_angle_beta 90.00
_cell_angle_gamma 90.00
_symmetry_space_group_name_H-M 'F d d d'
_symmetry_Int_Tables_number 70
loop_
_symmetry_equiv_pos_as_xyz
'x,y,z'
'-x,-y,-z'
'-x+1/4,-y+1/4,z'
'x+1/4,y+1/4,-z'
'x,-y+1/4,-z+1/4'
'-x,y+1/4,z+1/4'
'-x+1/4,y,-z+1/4'
'x+1/4,-y,z+1/4'
'x,y+1/2,z+1/2'
'-x,-y+1/2,-z+1/2'
'-x+1/4,-y+3/4,z+1/2'
'x+1/4,y+3/4,-z+1/2'
'x,-y+3/4,-z+3/4'
'-x,y+3/4,z+3/4'
'-x+1/4,y+1/2,-z+3/4'
'x+1/4,-y+1/2,z+3/4'
'x+1/2,y,z+1/2'
'-x+1/2,-y,-z+1/2'
'-x+3/4,-y+1/4,z+1/2'
'x+3/4,y+1/4,-z+1/2'
'x+1/2,-y+1/4,-z+3/4'
'-x+1/2,y+1/4,z+3/4'
'-x+3/4,y,-z+3/4'
'x+3/4,-y,z+3/4'
'x+1/2,y+1/2,z'
'-x+1/2,-y+1/2,-z'
'-x+3/4,-y+3/4,z'
'x+3/4,y+3/4,-z'
'x+1/2,-y+3/4,-z+1/4'
'-x+1/2,y+3/4,z+1/4'
'-x+3/4,y+1/2,-z+1/4'
'x+3/4,-y+1/2,z+1/4'
loop_
_atom_site_label
_atom_site_type_symbol
_atom_site_fract_x
_atom_site_fract_y
_atom_site_fract_z
Ta1 Ta 0.0534 0.3750 0.3750
Sb1 Sb 0.1250 0.3243 0.6250

# Ta13Sb3 PBE-GGA relaxed
# - E_tot: -10.38 eV/atom
# - ΔE_f (raw): 0.022 eV/atom
# - Crystal system: orthorhombic
# - Total magnetization: 0.00 μB per atom
data_Ta13Sb3
_chemical_formula_sum 'Ta26 Sb6'
_cell_length_a 6.9158
_cell_length_b 9.2140
_cell_length_c 9.5429
_cell_angle_alpha 90.00
_cell_angle_beta 90.00
_cell_angle_gamma 90.00
_symmetry_space_group_name_H-M 'A m m 2'
_symmetry_Int_Tables_number 38
_symmetry_space_group_name_Hall 'A 2 -2'
loop_
_atom_site_label
_atom_site_type_symbol
_atom_site_fract_x
_atom_site_fract_y
_atom_site_fract_z
Ta1 Ta 0.0000 0.0000 0.0000
Ta2 Ta 0.0000 0.0000 0.5161
Ta3 Ta 0.0000 0.2488 0.7498
Ta4 Ta 0.2447 0.0000 0.7523
Ta5 Ta 0.2471 0.2468 0.5028
Ta6 Ta 0.5000 0.0000 0.5185
Ta7 Ta 0.5000 0.2493 0.2492
Sb1 Sb 0.2454 0.0000 0.2760
Sb2 Sb 0.5000 0.0000 0.9850

# Ta2Sb PBE-GGA relaxed
# - E_tot: -8.76 eV/atom
# - ΔE_f (raw): 0.518 eV/atom
# - Crystal system: tetragonal
# - Total magnetization: 0.00 μB per atom
data_Ta2Sb
_chemical_formula_sum 'Ta8 Sb4'
_cell_length_a 5.4839
_cell_length_b 5.4839
_cell_length_c 8.5537
_cell_angle_alpha 90.00
_cell_angle_beta 90.00
_cell_angle_gamma 90.00
_symmetry_space_group_name_H-M 'I 41/a m d'
_symmetry_Int_Tables_number 141
loop_
_symmetry_equiv_pos_as_xyz
'x,y,z'
'-x,-y,-z'
'-y+1/4,x+3/4,z+1/4'
'y+1/4,-x+3/4,-z+1/4'
'-x+1/2,-y,z+1/2'
'x+1/2,y,-z+1/2'
'y+1/4,-x+1/4,z+3/4'
'-y+1/4,x+1/4,-z+3/4'
'x,-y,-z'
'-x,y,z'
'-y+1/4,-x+1/4,-z+3/4'
'y+1/4,x+1/4,z+3/4'
'-x+1/2,y,-z+1/2'
'x+1/2,-y,z+1/2'
'y+1/4,x+3/4,-z+1/4'
'-y+1/4,-x+3/4,z+1/4'
'x+1/2,y+1/2,z+1/2'
'-x+1/2,-y+1/2,-z+1/2'
'-y+3/4,x+1/4,z+3/4'
'y+3/4,-x+1/4,-z+3/4'
'-x,-y+1/2,z'
'x,y+1/2,-z'
'y+3/4,-x+3/4,z+1/4'
'-y+3/4,x+3/4,-z+1/4'
'x+1/2,-y+1/2,-z+1/2'
'-x+1/2,y+1/2,z+1/2'
'-y+3/4,-x+3/4,-z+1/4'
'y+3/4,x+3/4,z+1/4'
'-x,y+1/2,-z'
'x,-y+1/2,z'
'y+3/4,x+1/4,-z+3/4'
'-y+3/4,-x+1/4,z+3/4'
loop_
_atom_site_label
_atom_site_type_symbol
_atom_site_fract_x
_atom_site_fract_y
_atom_site_fract_z
Ta1 Ta 0.0000 0.2500 0.0350
Sb1 Sb 0.0000 0.2500 0.3750

# Ta3Sb PBE-GGA relaxed
# - Excess energy over the best structure of this formula in the dataset: 121.0 meV per atom
# - E_tot: -9.90 eV/atom
# - ΔE_f (raw): 0.021 eV/atom
# - Crystal system: hexagonal
# - Total magnetization: 0.00 μB per atom
data_Ta3Sb
_chemical_formula_sum 'Ta12 Sb4'
_cell_length_a 5.9554
_cell_length_b 5.9554
_cell_length_c 9.8087
_cell_angle_alpha 90.00
_cell_angle_beta 90.00
_cell_angle_gamma 120.00
_symmetry_space_group_name_H-M 'P 63/m m c'
_symmetry_Int_Tables_number 194
_symmetry_space_group_name_Hall '-P 6c 2c'
loop_
_atom_site_label
_atom_site_type_symbol
_atom_site_fract_x
_atom_site_fract_y
_atom_site_fract_z
Ta1 Ta 0.0000 0.5000 0.0000
Ta2 Ta 0.1763 0.3527 0.2500
Sb1 Sb 0.0000 0.0000 0.0000
Sb2 Sb 0.3333 0.6667 0.7500